1.
Below is Ho3Ag4AsS8 after structural relaxation, with properties calculated at the PBE-GGA level. Values from VASP.

```
&SYSTEM
  ibrav = 0, nat = 16, ntyp = 4
/
ATOMIC_SPECIES
Ho 164.93 Ho.upf
Ag 107.87 Ag.upf
As 74.92 As.upf
S 32.06 S.upf
CELL_PARAMETERS angstrom
-5.692 -1.758 -5.190
1.701 -7.510 0.678
-1.660 4.393 6.347
ATOMIC_POSITIONS angstrom
Ho -1.996 -4.634 -2.256
Ho -2.826 -2.437 0.918
Ho 0.020 -1.558 3.513
Ag -2.846 -0.879 -2.595
Ag -3.676 1.318 0.579
Ag 0.000 0.000 0.000
Ag -0.830 2.197 3.174
As 0.850 -3.755 0.339
S -1.773 -1.561 5.584
S -0.919 -3.834 2.306
S -1.837 -0.194 2.081
S -4.717 -2.470 2.900
S -0.935 -2.404 -1.064
S -3.815 -4.680 -0.246
S -4.733 -1.040 -0.471
S -3.879 -3.313 -3.749
```

Computed properties:
- E: -4.88 eV/atom
- SG: No. 12
- V: 20.9 Å³ per atom

2.
Below is Ac3Te2O2 after structural relaxation, with properties calculated at the PBE-GGA level. Values from VASP.

```
&SYSTEM
  ibrav = 0, nat = 7, ntyp = 3
/
ATOMIC_SPECIES
Ac 227.00 Ac.upf
Te 127.60 Te.upf
O 16.00 O.upf
CELL_PARAMETERS angstrom
0.829 0.878 -3.941
4.142 -4.321 -0.091
-8.520 -4.052 1.616
ATOMIC_POSITIONS angstrom
Ac 0.000 0.000 0.000
Ac 1.101 -3.037 -2.601
Ac -4.650 -4.458 0.185
Te -1.362 -5.420 -1.499
Te -2.187 -2.075 -0.917
O 1.500 -0.693 -1.995
O -5.049 -6.802 -0.421
```

Computed properties:
- E: -6.38 eV/atom
- SG: No. 12
- Energy above the lowest structure with this stoichiometry: 0.1353 eV/atom
- Fermi-level density of states: 0.211 states/eV/atom
- V: 28.6 Å³ per atom

3.
Below is Ca2OsPt after structural relaxation, with properties calculated at the PBE-GGA level. Values from VASP.

```
&SYSTEM
  ibrav = 0, nat = 8, ntyp = 3
/
ATOMIC_SPECIES
Ca 40.08 Ca.upf
Os 190.23 Os.upf
Pt 195.08 Pt.upf
CELL_PARAMETERS angstrom
7.833 0.000 0.000
0.000 7.833 0.000
3.917 3.917 2.822
ATOMIC_POSITIONS angstrom
Ca 5.945 1.958 0.706
Ca 1.889 5.875 0.706
Ca 5.875 5.806 2.117
Ca 9.792 9.861 2.117
Os 3.917 3.917 0.000
Os 3.917 7.833 1.411
Pt 0.000 0.000 0.000
Pt 7.833 3.917 1.411
```

Computed properties:
- E: -4.96 eV/atom
- ΔE_f: 0.36 eV/atom
- SG: No. 122
- Energy above the lowest structure with this stoichiometry: 0.4328 eV/atom
- Fermi-level density of states: 0.915 states/eV/atom
- V: 21.6 Å³ per atom

4.
Below is PmNd5Y3 after structural relaxation, with properties calculated at the PBE-GGA level. Values from VASP.

```
&SYSTEM
  ibrav = 0, nat = 18, ntyp = 3
/
ATOMIC_SPECIES
Pm 145.00 Pm.upf
Nd 144.24 Nd.upf
Y 88.91 Y.upf
CELL_PARAMETERS angstrom
-8.052 -4.897 -0.980
-5.180 -4.154 6.760
-11.747 3.275 4.045
ATOMIC_POSITIONS angstrom
Pm -22.023 -5.218 8.674
Pm -2.956 -0.558 1.151
Nd -12.642 -5.859 3.475
Nd -6.089 -4.389 4.309
Nd -9.084 -5.516 3.901
Nd -10.816 -2.584 4.262
Nd -14.163 -3.193 5.563
Nd -15.896 -0.260 5.924
Nd -11.490 -5.561 6.578
Nd -7.143 -4.662 1.471
Nd -12.337 0.083 6.350
Nd -13.489 -0.215 3.247
Y -17.383 -4.110 6.846
Y -15.129 -6.462 6.235
Y 0.000 0.000 0.000
Y -5.874 1.638 2.023
Y -7.596 -1.666 2.979
Y -9.850 0.686 3.590
```

Computed properties:
- E: -4.93 eV/atom
- ΔE_f: 0.40 eV/atom
- SG: No. 12
- Energy above the lowest structure with this stoichiometry: 0.1345 eV/atom
- Fermi-level density of states: 1.440 states/eV/atom
- V: 36.9 Å³ per atom

5.
Below is CaCrFe2Sn after structural relaxation, with properties calculated at the PBE-GGA level. Values from VASP.

```
&SYSTEM
  ibrav = 0, nat = 5, ntyp = 4
/
ATOMIC_SPECIES
Cr 52.00 Cr.upf
Ca 40.08 Ca.upf
Sn 118.71 Sn.upf
Fe 55.84 Fe.upf
CELL_PARAMETERS angstrom
-2.984 -0.470 -3.235
0.781 -4.356 -0.088
-3.885 -0.772 3.696
ATOMIC_POSITIONS angstrom
Cr -3.044 -2.799 0.186
Ca 0.000 0.000 0.000
Sn -1.943 -0.386 1.848
Fe 0.391 -2.178 -0.044
Fe -1.492 -0.235 -1.617
```

Computed properties:
- E: -4.45 eV/atom
- ΔE_f: 2.06 eV/atom
- SG: No. 123
- Fermi-level density of states: 1.599 states/eV/atom
- V: 21.2 Å³ per atom